Here is crystalline SrAcZnNi at its relaxed geometry from Alexandria. Energies are from PBE.

The structure in CIF format:
```
data_SrAcZnNi
_chemical_formula_sum 'Sr2 Ac2 Zn2 Ni2'
_symmetry_space_group_name_H-M 'C 1 m 1'
_symmetry_Int_Tables_number 8
_cell_length_a 7.4856
_cell_length_b 4.3265
_cell_length_c 8.2485
_cell_angle_alpha 90.00
_cell_angle_beta 107.67
_cell_angle_gamma 90.00
loop_
_symmetry_equiv_pos_as_xyz
'x,y,z'
'x,-y,z'
'x+1/2,y+1/2,z'
'x+1/2,-y+1/2,z'
loop_
_atom_site_label
_atom_site_fract_x
_atom_site_fract_y
_atom_site_fract_z
Sr1 0.0000 0.0000 0.0000
Ac1 0.3290 0.5000 0.4875
Zn1 0.0806 0.5000 0.7427
Ni1 0.2375 0.0000 0.7142
```

For the calculated total energy, the calculation gives -3.42 eV per atom.

Here is crystalline YZnSi2Pd at its relaxed geometry from Alexandria. Energies are from PBE.

The structure in CIF format:
```
data_YZnSi2Pd
_chemical_formula_sum 'Y2 Zn2 Si4 Pd2'
_symmetry_space_group_name_H-M 'I -4 m 2'
_symmetry_Int_Tables_number 119
_symmetry_space_group_name_Hall 'I -4 -2'
_cell_length_a 4.0423
_cell_length_b 4.0423
_cell_length_c 10.4452
_cell_angle_alpha 90.00
_cell_angle_beta 90.00
_cell_angle_gamma 90.00
loop_
_atom_site_label
_atom_site_fract_x
_atom_site_fract_y
_atom_site_fract_z
Y1 0.0000 0.0000 0.0000
Zn1 0.0000 0.5000 0.2500
Si1 0.0000 0.0000 0.3885
Pd1 0.0000 0.5000 0.7500
```

Its formation energy (no corrections) is -354 kJ/mol of formula units.

Here is crystalline CaMn2Ag at its relaxed geometry from Alexandria. Energies are from PBE.

The structure in CIF format:
```
data_CaMn2Ag
_chemical_formula_sum 'Ca4 Mn8 Ag4'
_symmetry_space_group_name_H-M 'I -4 2 d'
_symmetry_Int_Tables_number 122
_symmetry_space_group_name_Hall 'I -4 2bw'
_cell_length_a 4.2973
_cell_length_b 4.2973
_cell_length_c 19.3854
_cell_angle_alpha 90.00
_cell_angle_beta 90.00
_cell_angle_gamma 90.00
loop_
_atom_site_label
_atom_site_fract_x
_atom_site_fract_y
_atom_site_fract_z
Ca1 0.0000 0.0000 0.0000
Mn1 0.0706 0.2500 0.6250
Ag1 0.0000 0.0000 0.5000
```

For the calculated total energy, the calculation gives -5.09 eV per atom.

Here is crystalline Ce2DyZn2In2 at its relaxed geometry from Alexandria. Energies are from PBE.

The structure in CIF format:
```
data_Ce2DyZn2In2
_chemical_formula_sum 'Ce6 Dy3 Zn6 In6'
_symmetry_space_group_name_H-M 'R -3 m'
_symmetry_Int_Tables_number 166
_symmetry_space_group_name_Hall '-R 3 2"'
_cell_length_a 4.5605
_cell_length_b 4.5605
_cell_length_c 27.5513
_cell_angle_alpha 90.00
_cell_angle_beta 90.00
_cell_angle_gamma 120.00
loop_
_atom_site_label
_atom_site_fract_x
_atom_site_fract_y
_atom_site_fract_z
Ce1 0.0000 0.0000 0.1423
Dy1 0.0000 0.0000 0.0000
Zn1 0.0000 0.0000 0.4045
In1 0.0000 0.0000 0.2662
```

For the calculated total energy, the calculation gives -3.76 eV per atom.

Here is crystalline CaTaCl at its relaxed geometry from Alexandria. Energies are from PBE.

The structure in CIF format:
```
data_CaTaCl
_chemical_formula_sum 'Ca2 Ta2 Cl2'
_symmetry_space_group_name_H-M 'I 4 m m'
_symmetry_Int_Tables_number 107
_symmetry_space_group_name_Hall 'I 4 -2'
_cell_length_a 3.1132
_cell_length_b 3.1132
_cell_length_c 13.0736
_cell_angle_alpha 90.00
_cell_angle_beta 90.00
_cell_angle_gamma 90.00
loop_
_atom_site_label
_atom_site_fract_x
_atom_site_fract_y
_atom_site_fract_z
Ca1 0.0000 0.0000 0.0000
Ta1 0.0000 0.0000 0.3159
Cl1 0.0000 0.0000 0.6556
```

Its formation energy (no corrections) is 12 kJ/mol of formula units.

Here is crystalline BiO2 at its relaxed geometry from Alexandria. Energies are from PBE.

The structure in CIF format:
```
data_BiO2
_chemical_formula_sum 'Bi8 O16'
_symmetry_space_group_name_H-M 'C m c m'
_symmetry_Int_Tables_number 63
_symmetry_space_group_name_Hall '-C 2c 2'
_cell_length_a 3.4563
_cell_length_b 11.0298
_cell_length_c 11.7190
_cell_angle_alpha 90.00
_cell_angle_beta 90.00
_cell_angle_gamma 90.00
loop_
_atom_site_label
_atom_site_fract_x
_atom_site_fract_y
_atom_site_fract_z
Bi1 0.0000 0.1332 0.0772
O1 0.0000 0.0813 0.2500
O2 0.0000 0.2412 0.5915
O3 0.0000 0.5000 0.0000
```

Its formation energy (no corrections) is -238 kJ/mol of formula units.

Spin magnetization: 0.00 0.00 21.66 5.30 0.00 0.00 (Bohr magnetons per cell)